# Hf2TaTlF

An optimized crystal structure of Hf2TaTlF (PBE-GGA, Alexandria).

abc: 5.3822 5.3822 5.2231
angles: 90.00 90.00 90.00
Last column: nearest neighbours and their distance in Å.
Sites, in units of the cell vectors:
Tl 0.0000 0.0000 0.0000  2 Ta 2.61, 4 Hf 2.69
F 0.5000 0.5000 0.5000  8 Hf 3.75, 4 Ta 3.81
Hf 0.0000 0.5000 0.0000  2 Tl 2.69
Hf 0.5000 0.0000 0.0000  2 Tl 2.69
Ta 0.0000 0.0000 0.5000  2 Tl 2.61

Output
total DFT energy (no corrections) = -5.463 eV/atom
magnetic moment = 4.2 μB per cell
formation energy (no corrections) = 837.8 kJ/mol of formula units
calculated volume = 30.26 Å³ per atom
DOS(E_F) = 7.22 states/eV/cell